[1]
The following is a GGA-PBE calculation of crystalline Cu3Ag2 at its relaxed geometry, from the Open Quantum Materials Database.

```
Cu3Ag2
1.0
4.338 -1.906 0.000
4.338 1.906 0.000
-0.166 0.000 8.651
Cu Ag
6 4
direct
0.792 0.792 0.086
0.500 0.500 0.000
0.093 0.093 0.179
0.000 0.000 0.500
0.907 0.907 0.821
0.208 0.208 0.914
0.307 0.307 0.608
0.604 0.604 0.717
0.396 0.396 0.283
0.693 0.693 0.392
```

Its space group is No. 12. For the distance to the lowest polymorph of the same formula, the calculation gives 46 meV per atom. The value obtained for the energy relative to the elements is 0.440 eV per formula unit.

[2]
The following is a GGA-PBE calculation of crystalline CuAg at its relaxed geometry, from the Open Quantum Materials Database.

```
CuAg
1.0
2.847 0.000 0.000
0.000 2.847 0.000
0.000 0.000 18.357
Cu Ag
5 5
direct
0.500 0.500 0.610
0.500 0.500 0.410
0.500 0.500 0.812
0.000 0.000 0.894
0.500 0.500 0.974
0.000 0.000 0.711
0.000 0.000 0.510
0.500 0.500 0.193
0.000 0.000 0.310
0.000 0.000 0.075
```

Its space group is No. 99. The value obtained for the energy relative to the elements is 0.140 eV per formula unit.

[3]
The following is a GGA-PBE calculation of crystalline CuAg5 at its relaxed geometry, from the Open Quantum Materials Database.

```
CuAg5
1.0
-1.855 0.991 1.987
1.817 -0.810 2.101
5.331 10.840 -0.432
Ag Cu
5 1
direct
0.500 0.500 0.851
0.000 0.000 0.325
0.000 0.000 0.675
0.500 0.500 0.149
0.500 0.500 0.500
0.000 0.000 0.000
```

Its space group is No. 123. For the distance to the lowest polymorph of the same formula, the calculation gives 0 meV per atom. The value obtained for the energy relative to the elements is 0.197 eV per formula unit.

[4]
The following is a GGA-PBE calculation of crystalline Cu3Ag2 at its relaxed geometry, from the Open Quantum Materials Database.

```
Cu3Ag2
1.0
-4.558 -4.010 7.345
-2.007 -3.961 8.432
-0.695 5.318 1.389
Ag Cu
4 6
direct
0.591 0.591 0.295
0.208 0.208 0.597
0.600 0.600 0.808
0.402 0.402 0.201
0.395 0.395 0.697
0.992 0.992 0.973
0.993 0.993 0.521
0.804 0.804 0.398
0.803 0.803 0.903
0.211 0.211 0.105
```

Its space group is No. 8. For the distance to the lowest polymorph of the same formula, the calculation gives 51 meV per atom. The value obtained for the energy relative to the elements is 0.466 eV per formula unit.

[5]
The following is a GGA-PBE calculation of crystalline Cu3Ag7 at its relaxed geometry, from the Open Quantum Materials Database.

```
Cu3Ag7
1.0
1.440 0.831 22.552
-1.440 0.831 22.552
0.000 -1.662 22.552
Ag Cu
7 3
direct
0.696 0.696 0.696
0.398 0.398 0.398
0.100 0.100 0.100
0.802 0.802 0.802
0.199 0.199 0.199
0.901 0.901 0.901
0.604 0.604 0.604
0.997 0.997 0.997
0.500 0.500 0.500
0.303 0.303 0.303
```

Its space group is No. 160. For the distance to the lowest polymorph of the same formula, the calculation gives 42 meV per atom. The value obtained for the energy relative to the elements is 0.705 eV per formula unit.

[6]
The following is a GGA-PBE calculation of crystalline CuAg at its relaxed geometry, from the Open Quantum Materials Database.

```
CuAg
1.0
-1.780 -0.188 -2.137
-0.494 -2.497 -1.135
-9.231 -0.941 9.684
Ag Cu
3 3
direct
0.940 0.940 0.979
0.370 0.370 0.354
0.657 0.657 0.167
0.512 0.512 0.667
0.224 0.224 0.813
0.796 0.796 0.521
```

Its space group is No. 8. The value obtained for the energy relative to the elements is 0.189 eV per formula unit.

[7]
The following is a GGA-PBE calculation of crystalline Cu3Ag7 at its relaxed geometry, from the Open Quantum Materials Database.

```
Cu3Ag7
1.0
4.898 0.000 0.000
0.802 4.878 0.000
2.354 2.021 6.818
Ag Cu
7 3
direct
0.003 0.291 0.902
0.500 0.395 0.198
0.490 0.810 0.395
0.500 0.605 0.802
0.000 0.500 0.500
0.510 0.190 0.605
0.997 0.709 0.098
0.995 0.903 0.699
0.005 0.097 0.301
0.500 0.000 0.000
```

Its space group is No. 2. For the distance to the lowest polymorph of the same formula, the calculation gives 52 meV per atom. The value obtained for the energy relative to the elements is 0.810 eV per formula unit.

[8]
The following is a GGA-PBE calculation of crystalline CuAg at its relaxed geometry, from the Open Quantum Materials Database.

```
CuAg
1.0
0.212 5.232 -7.637
-2.118 6.316 -6.432
3.326 3.313 3.454
Cu Ag
5 5
direct
0.403 0.403 0.182
0.591 0.591 0.814
0.597 0.597 0.278
0.004 0.004 0.017
0.802 0.802 0.911
0.405 0.405 0.728
0.196 0.196 0.088
0.003 0.003 0.488
0.192 0.192 0.600
0.806 0.806 0.394
```

Its space group is No. 8. The value obtained for the energy relative to the elements is 0.180 eV per formula unit.

[9]
The following is a GGA-PBE calculation of crystalline Cu5Ag3 at its relaxed geometry, from the Open Quantum Materials Database.

```
Cu5Ag3
1.0
-0.263 -0.323 2.749
6.653 0.477 0.691
2.344 6.210 0.953
Cu Ag
5 3
direct
0.500 0.017 0.017
0.500 0.733 0.733
0.500 0.506 0.506
0.000 0.858 0.383
0.000 0.383 0.858
0.000 0.649 0.110
0.500 0.245 0.245
0.000 0.110 0.649
```

Its space group is No. 38. For the distance to the lowest polymorph of the same formula, the calculation gives 39 meV per atom. The value obtained for the energy relative to the elements is 0.689 eV per formula unit.

[10]
The following is a GGA-PBE calculation of crystalline Cu3Ag2 at its relaxed geometry, from the Open Quantum Materials Database.

```
Cu3Ag2
1.0
2.812 0.000 0.000
0.000 3.503 0.000
0.000 0.000 14.521
Ag Cu
4 6
direct
0.000 0.000 0.205
0.500 0.500 0.703
0.000 0.000 0.411
0.500 0.500 0.081
0.000 0.000 0.600
0.000 0.000 0.806
0.500 0.500 0.892
0.500 0.500 0.516
0.000 0.000 0.977
0.500 0.500 0.309
```

Its space group is No. 25. For the distance to the lowest polymorph of the same formula, the calculation gives 44 meV per atom. The value obtained for the energy relative to the elements is 0.432 eV per formula unit.

[11]
The following is a GGA-PBE calculation of crystalline Cu3Ag2 at its relaxed geometry, from the Open Quantum Materials Database.

```
Cu3Ag2
1.0
1.382 0.798 21.749
-1.382 0.798 21.749
0.000 -1.596 21.749
Cu Ag
6 4
direct
0.251 0.251 0.251
0.947 0.947 0.947
0.848 0.848 0.848
0.152 0.152 0.152
0.749 0.749 0.749
0.053 0.053 0.053
0.647 0.647 0.647
0.353 0.353 0.353
0.550 0.550 0.550
0.450 0.450 0.450
```

Its space group is No. 166. For the distance to the lowest polymorph of the same formula, the calculation gives 65 meV per atom. The value obtained for the energy relative to the elements is 0.533 eV per formula unit.

[12]
The following is a GGA-PBE calculation of crystalline CuAg at its relaxed geometry, from the Open Quantum Materials Database.

```
CuAg
1.0
1.415 0.817 21.785
-1.415 0.817 21.785
0.000 -1.634 21.785
Ag Cu
5 5
direct
0.902 0.902 0.902
0.799 0.799 0.799
0.399 0.399 0.399
0.302 0.302 0.302
0.198 0.198 0.198
0.602 0.602 0.602
0.499 0.499 0.499
0.002 0.002 0.002
0.698 0.698 0.698
0.099 0.099 0.099
```

Its space group is No. 160. The value obtained for the energy relative to the elements is 0.224 eV per formula unit.